Material: EuSiNi
Method: DFT, PBE
State: optimized geometry

Properties
* density of states at the Fermi level: 7.92 states/eV per cell
* formation energy without anion corrections: -155 kJ/mol of formula units
* electronic total energy: -7.694 eV/atom

a = 4.010 Å, b = 4.010 Å, c = 4.326 Å
α = 90.00°, β = 90.00°, γ = 120.00°
Positions (direct):
Eu: 0.000 0.000 0.000
Si: 0.667 0.333 0.500
Ni: 0.333 0.667 0.500

Material: Rb2BiCl5
Method: DFT, PBE
State: optimized geometry

Properties
* polymorph energy (0 for the lowest one): 45 meV per atom
* density of states at the Fermi level: 0.00 states/eV per cell
* formation energy without anion corrections: -1138 kJ/mol of formula units
* electronic total energy: -3.356 eV/atom

a = 7.266 Å, b = 7.266 Å, c = 7.266 Å
α = 113.46°, β = 113.46°, γ = 101.76°
Positions (direct):
Rb: 0.000 0.500 0.500
Rb: 0.500 0.000 0.500
Bi: 0.250 0.250 0.000
Cl: 0.009 0.009 0.519
Cl: 0.009 0.490 0.000
Cl: 0.490 0.009 0.000
Cl: 0.490 0.490 0.481
Cl: 0.519 0.519 0.000

Material: HoTmPa
Method: DFT, PBE
State: optimized geometry

Properties
* formation energy from the elements: 0.140 eV/atom
* polymorph energy (0 for the lowest one): 35 meV per atom
* density of states at the Fermi level: 5.35 states/eV per cell
* electronic total energy: -6.042 eV/atom

a = 7.823 Å, b = 7.823 Å, c = 7.823 Å
α = 154.98°, β = 154.98°, γ = 35.67°
Positions (direct):
Ho: 0.000 0.000 0.000
Tm: 0.684 0.684 0.000
Pa: 0.341 0.341 0.000

Material: Ce2Fe17
Method: DFT, PBE
State: optimized geometry

Properties
* formation energy from the elements: 0.012 eV/atom
* density of states at the Fermi level: 25.39 states/eV per cell
* electronic total energy: -8.185 eV/atom

a = 6.419 Å, b = 6.419 Å, c = 6.419 Å
α = 81.72°, β = 81.72°, γ = 81.72°
Positions (direct):
Ce: 0.158 0.158 0.158
Ce: 0.842 0.842 0.842
Fe: 0.000 0.500 0.500
Fe: 0.158 0.158 0.657
Fe: 0.158 0.657 0.158
Fe: 0.203 0.500 0.797
Fe: 0.203 0.797 0.500
Fe: 0.343 0.842 0.842
Fe: 0.405 0.405 0.405
Fe: 0.500 0.000 0.500
Fe: 0.500 0.203 0.797
Fe: 0.500 0.500 0.000
Fe: 0.500 0.797 0.203
Fe: 0.595 0.595 0.595
Fe: 0.657 0.158 0.158
Fe: 0.797 0.203 0.500
Fe: 0.797 0.500 0.203
Fe: 0.842 0.343 0.842
Fe: 0.842 0.842 0.343

Material: HfNbSb2
Method: DFT, PBE
State: optimized geometry

Properties
* polymorph energy (0 for the lowest one): 205 meV per atom
* density of states at the Fermi level: 3.31 states/eV per cell
* formation energy without anion corrections: -6 kJ/mol of formula units
* electronic total energy: -7.081 eV/atom

a = 4.056 Å, b = 4.056 Å, c = 7.009 Å
α = 106.96°, β = 106.96°, γ = 60.33°
Positions (direct):
Hf: 0.000 0.000 0.000
Nb: 0.500 0.500 0.500
Sb: 0.248 0.248 0.744
Sb: 0.752 0.752 0.256

Material: ZrFeRh
Method: DFT, PBE
State: optimized geometry

Properties
* formation energy from the elements: 0.003 eV/atom
* density of states at the Fermi level: 2.23 states/eV per cell
* electronic total energy: -8.118 eV/atom

a = 4.331 Å, b = 4.331 Å, c = 4.331 Å
α = 60.00°, β = 60.00°, γ = 60.00°
Positions (direct):
Zr: 0.000 0.000 0.000
Fe: 0.500 0.500 0.500
Rh: 0.750 0.750 0.750

Material: Cs2MoPd
Method: DFT, PBE
State: optimized geometry

Properties
* formation energy from the elements: 1.625 eV/atom
* density of states at the Fermi level: 3.01 states/eV per cell
* electronic total energy: -2.807 eV/atom

a = 5.427 Å, b = 5.427 Å, c = 5.427 Å
α = 60.00°, β = 60.00°, γ = 60.00°
Positions (direct):
Cs: 0.250 0.250 0.250
Cs: 0.750 0.750 0.750
Mo: 0.000 0.000 0.000
Pd: 0.500 0.500 0.500

Material: ZrCr2Tc
Method: DFT, PBE
State: optimized geometry

Properties
* formation energy from the elements: 0.065 eV/atom
* polymorph energy (0 for the lowest one): 0 meV per atom
* density of states at the Fermi level: 3.03 states/eV per cell
* electronic total energy: -9.475 eV/atom

a = 3.054 Å, b = 3.054 Å, c = 6.390 Å
α = 90.00°, β = 90.00°, γ = 90.00°
Positions (direct):
Zr: 0.000 0.000 0.000
Cr: 0.000 0.000 0.486
Cr: 0.500 0.500 0.273
Tc: 0.500 0.500 0.709

Material: NpTi2Al
Method: DFT, PBE
State: optimized geometry

Properties
* formation energy from the elements: -0.006 eV/atom
* polymorph energy (0 for the lowest one): 22 meV per atom
* density of states at the Fermi level: 7.61 states/eV per cell
* electronic total energy: -8.124 eV/atom

a = 4.401 Å, b = 4.401 Å, c = 3.668 Å
α = 90.00°, β = 90.00°, γ = 90.00°
Positions (direct):
Np: 0.000 0.000 0.000
Ti: 0.000 0.500 0.500
Ti: 0.500 0.000 0.500
Al: 0.500 0.500 0.000

Material: Hf2NpN4
Method: DFT, PBE
State: optimized geometry

Properties
* density of states at the Fermi level: 10.83 states/eV per cell
* formation energy without anion corrections: -1021 kJ/mol of formula units
* electronic total energy: -10.961 eV/atom

a = 5.521 Å, b = 5.521 Å, c = 10.464 Å
α = 90.00°, β = 90.00°, γ = 146.55°
Positions (direct):
Hf: 0.133 0.867 0.567
Hf: 0.133 0.867 0.933
Hf: 0.867 0.133 0.067
Hf: 0.867 0.133 0.433
Np: 0.388 0.612 0.750
Np: 0.612 0.388 0.250
N: 0.034 0.966 0.750
N: 0.231 0.769 0.118
N: 0.231 0.769 0.382
N: 0.500 0.500 0.000
N: 0.500 0.500 0.500
N: 0.769 0.231 0.618
N: 0.769 0.231 0.882
N: 0.966 0.034 0.250

Material: LaPS2
Method: DFT, PBE
State: optimized geometry

Properties
* density of states at the Fermi level: 0.99 states/eV per cell
* formation energy without anion corrections: -250 kJ/mol of formula units
* electronic total energy: -5.297 eV/atom

a = 8.828 Å, b = 8.828 Å, c = 8.828 Å
α = 147.33°, β = 147.33°, γ = 46.87°
Positions (direct):
La: 0.000 0.000 0.000
La: 0.750 0.250 0.500
P: 0.250 0.750 0.500
P: 0.500 0.500 0.000
S: 0.180 0.625 0.055
S: 0.375 0.430 0.555
S: 0.570 0.125 0.945
S: 0.875 0.820 0.445

Material: Mg2MnTcOs
Method: DFT, PBE
State: optimized geometry

Properties
* formation energy from the elements: 1.066 eV/atom
* density of states at the Fermi level: 3.25 states/eV per cell
* electronic total energy: -5.725 eV/atom

a = 4.908 Å, b = 4.908 Å, c = 4.689 Å
α = 90.00°, β = 90.00°, γ = 90.00°
Positions (direct):
Mg: 0.000 0.500 0.000
Mg: 0.500 0.000 0.000
Mn: 0.000 0.000 0.500
Tc: 0.500 0.500 0.500
Os: 0.500 0.500 0.000

Material: LiCa2Pt
Method: DFT, PBE
State: optimized geometry

Properties
* formation energy from the elements: -0.262 eV/atom
* density of states at the Fermi level: 4.98 states/eV per cell
* electronic total energy: -3.251 eV/atom

a = 6.664 Å, b = 6.664 Å, c = 6.664 Å
α = 103.94°, β = 103.94°, γ = 121.22°
Positions (direct):
Li: 0.000 0.000 0.000
Li: 0.750 0.250 0.500
Ca: 0.171 0.625 0.046
Ca: 0.375 0.421 0.546
Ca: 0.579 0.125 0.954
Ca: 0.875 0.829 0.454
Pt: 0.250 0.750 0.500
Pt: 0.500 0.500 0.000

Material: CaAl4Sb
Method: DFT, PBE
State: optimized geometry

Properties
* density of states at the Fermi level: 3.00 states/eV per cell
* formation energy without anion corrections: -48 kJ/mol of formula units
* electronic total energy: -3.598 eV/atom

a = 5.624 Å, b = 5.624 Å, c = 5.624 Å
α = 60.00°, β = 60.00°, γ = 60.00°
Positions (direct):
Ca: 0.000 0.000 0.000
Al: 0.375 0.375 0.375
Al: 0.375 0.375 0.874
Al: 0.375 0.874 0.375
Al: 0.874 0.375 0.375
Sb: 0.750 0.750 0.750

Material: BaLa
Method: DFT, PBE
State: optimized geometry

Properties
* formation energy from the elements: 0.202 eV/atom
* polymorph energy (0 for the lowest one): 105 meV per atom
* density of states at the Fermi level: 14.06 states/eV per cell
* electronic total energy: -3.223 eV/atom

a = 8.015 Å, b = 8.015 Å, c = 8.015 Å
α = 60.00°, β = 60.00°, γ = 60.00°
Positions (direct):
Ba: 0.000 0.000 0.000
Ba: 0.000 0.000 0.500
Ba: 0.000 0.500 0.000
Ba: 0.500 0.000 0.000
La: 0.000 0.500 0.500
La: 0.500 0.000 0.500
La: 0.500 0.500 0.000
La: 0.500 0.500 0.500

Number 1: total moment 6.97 μB/cell. Number 2: total moment 0.00 μB/cell. Number 3: total moment 0.05 μB/cell. Number 4: total moment 37.14 μB/cell. Number 5: total moment 0.00 μB/cell. Number 6: total moment 2.93 μB/cell. Number 7: total moment 5.13 μB/cell. Number 8: total moment 0.24 μB/cell. Number 9: total moment 3.76 μB/cell. Number 10: total moment 5.35 μB/cell. Number 11: total moment 0.00 μB/cell. Number 12: total moment 3.36 μB/cell. Number 13: total moment 0.00 μB/cell. Number 14: total moment 0.00 μB/cell. Number 15: total moment 0.00 μB/cell.